AcSnAs after structural relaxation. Source: Alexandria via LeMat-Bulk, functional PBE.

Formation energy = -2.04 eV per formula unit
Relative energy among the computed polymorphs = 0 meV per atom

```
AcSnAs
1.0
4.9076 0.0000 0.0000
-2.4538 4.2501 0.0000
0.0000 0.0000 4.2849
Ac Sn As
1 1 1
direct
0.0000 0.0000 0.0000 Ac
0.3333 0.6667 0.4984 Sn
0.6667 0.3333 0.5024 As
```